DFT (PBE) results for an optimized crystal structure of SmY6Cd.

Cell lengths 9.3383, 9.3383, 10.0274 Å; angles 90.00, 90.00, 120.00 degrees
Space group R-3 (No. 148, hexagonal axes)
Unique sites:
Sm  0.0000  0.0000  0.0000
Y  0.0247  0.7678  0.7156
Cd  0.0000  0.0000  0.5000

## Properties
The formation enthalpy at 0 K comes out at 0.0360 eV per atom. The uncorrected energy comes out at -132.39 eV for the cell shown. The density of states at the Fermi level comes out at 1.2945 states/eV per atom. The crystal system is trigonal.

DFT (PBE) results for an optimized crystal structure of ZrTiSb2.

Cell lengths 7.005, 7.005, 7.005 Å; angles 90.00, 90.00, 90.00 degrees
Space group Fm-3m (No. 225)
Unique sites:
Zr  0.000  0.000  0.000
Ti  0.000  0.000  0.500
Sb  0.250  0.250  0.250

## Properties
The uncorrected energy comes out at -104.29 eV for the cell shown. The density of states at the Fermi level comes out at 1.6331 states/eV per atom. As for the formation energy without anion corrections: -0.35 eV per atom. The crystal system is cubic. The calculation puts the energy above the most stable polymorph in this dataset at 117 meV per atom.

DFT (PBE) results for an optimized crystal structure of SrCa2Sb.

Cell lengths 7.227, 12.260, 3.699 Å; angles 90.00, 118.02, 90.00 degrees
Space group C2/m (No. 12)
Unique sites:
Sr  0.000  0.000  0.000
Ca  0.250  0.250  0.500
Sb  0.000  0.500  0.000

## Properties
The uncorrected energy comes out at -21.89 eV for the cell shown. The density of states at the Fermi level comes out at 0.7600 states/eV per atom. As for the formation energy without anion corrections: -0.28 eV per atom. The crystal system is monoclinic.

DFT (PBE) results for an optimized crystal structure of Cs3Sr2SnBr9.

Cell lengths 8.4731, 8.4731, 10.3935 Å; angles 90.00, 90.00, 120.00 degrees
Space group P-3m1 (No. 164)
Unique sites:
Cs  0.0000  0.0000  0.0000
Cs  0.3333  0.6667  0.6598
Sr  0.3333  0.6667  0.1676
Sn  0.0000  0.0000  0.5000
Br  0.0000  0.5000  0.0000
Br  0.1656  0.3311  0.3363

## Properties
The uncorrected energy comes out at -50.91 eV for the cell shown. The density of states at the Fermi level comes out at 0.0000 states/eV per atom. As for the formation energy without anion corrections: -1.73 eV per atom. The crystal system is trigonal.

DFT (PBE) results for an optimized crystal structure of Sr3Si5Ir6.

Cell lengths 4.009, 12.665, 10.233 Å; angles 90.00, 90.00, 90.00 degrees
Space group Pmmn (No. 59, origin choice 2)
Unique sites:
Sr  0.250  0.104  0.249
Sr  0.250  0.750  0.237
Si  0.250  0.071  0.649
Si  0.250  0.620  0.993
Si  0.250  0.750  0.582
Ir  0.250  0.053  0.894
Ir  0.250  0.250  0.003
Ir  0.250  0.250  0.534
Ir  0.250  0.579  0.483

## Properties
The uncorrected energy comes out at -190.98 eV for the cell shown. The density of states at the Fermi level comes out at 0.2820 states/eV per atom. As for the formation energy without anion corrections: -0.73 eV per atom. The crystal system is orthorhombic.

DFT (PBE) results for an optimized crystal structure of EuTlAu.

Cell lengths 7.107, 7.107, 7.107 Å; angles 90.00, 90.00, 90.00 degrees
Space group F-43m (No. 216)
Unique sites:
Eu  0.000  0.000  0.000
Tl  0.000  0.000  0.500
Au  0.250  0.250  0.750

## Properties
The formation enthalpy at 0 K comes out at -0.4782 eV per atom. The uncorrected energy comes out at -69.41 eV for the cell shown. The density of states at the Fermi level comes out at 2.6030 states/eV per atom. The crystal system is cubic.

DFT (PBE) results for an optimized crystal structure of K2RbCaCl5.

Cell lengths 5.263, 7.620, 15.198 Å; angles 90.00, 90.00, 90.00 degrees
Space group Immm (No. 71)
Unique sites:
K  0.000  0.000  0.209
Rb  0.000  0.500  0.000
Ca  0.000  0.500  0.500
Cl  0.000  0.000  0.000
Cl  0.000  0.253  0.369

## Properties
The uncorrected energy comes out at -66.39 eV for the cell shown. The density of states at the Fermi level comes out at 0.0000 states/eV per atom. As for the formation energy without anion corrections: -2.09 eV per atom. The crystal system is orthorhombic.

DFT (PBE) results for an optimized crystal structure of BaZrMnCr2.

Cell lengths 4.952, 4.952, 4.972 Å; angles 90.00, 90.00, 90.00 degrees
Space group P4/mmm (No. 123)
Unique sites:
Ba  0.000  0.000  0.000
Zr  0.500  0.500  0.500
Mn  0.000  0.000  0.500
Cr  0.000  0.500  0.000

## Properties
The formation enthalpy at 0 K comes out at 2.1476 eV per atom. The uncorrected energy comes out at -28.15 eV for the cell shown. The density of states at the Fermi level comes out at 1.1381 states/eV per atom. The crystal system is tetragonal.

DFT (PBE) results for an optimized crystal structure of BeCu2Se.

Cell lengths 3.4683, 3.4683, 17.3051 Å; angles 90.00, 90.00, 120.00 degrees
Space group R3m (No. 160, hexagonal axes)
Unique sites:
Be  0.0000  0.0000  0.0000
Cu  0.0000  0.0000  0.4937
Cu  0.0000  0.0000  0.7464
Se  0.0000  0.0000  0.2777

## Properties
The uncorrected energy comes out at -43.80 eV for the cell shown. The density of states at the Fermi level comes out at 0.5058 states/eV per atom. As for the formation energy without anion corrections: 0.20 eV per atom. The crystal system is trigonal. The calculation puts the energy above the most stable polymorph in this dataset at 126 meV per atom.

DFT (PBE) results for an optimized crystal structure of SmCd9Ag2.

Cell lengths 11.870, 11.870, 7.555 Å; angles 90.00, 90.00, 90.00 degrees
Space group I4_1/amd (No. 141, origin choice 2)
Unique sites:
Sm  0.000  0.250  0.375
Cd  0.000  0.250  0.875
Cd  0.120  0.050  0.674
Ag  0.000  0.000  0.000

## Properties
The formation enthalpy at 0 K comes out at -0.1286 eV per atom. The uncorrected energy comes out at -80.80 eV for the cell shown. The density of states at the Fermi level comes out at 0.2535 states/eV per atom. The crystal system is tetragonal.

DFT (PBE) results for an optimized crystal structure of LaMg2OsN4.

Cell lengths 3.362, 11.742, 10.942 Å; angles 90.00, 90.00, 90.00 degrees
Space group Cmcm (No. 63)
Unique sites:
La  0.000  0.071  0.250
Mg  0.000  0.386  0.033
Os  0.000  0.186  0.750
N  0.000  0.000  0.000
N  0.000  0.275  0.614
N  0.000  0.409  0.250

## Properties
The uncorrected energy comes out at -223.43 eV for the cell shown. The density of states at the Fermi level comes out at 0.4689 states/eV per atom. As for the formation energy without anion corrections: -0.40 eV per atom. The crystal system is orthorhombic.

DFT (PBE) results for an optimized crystal structure of DyTm3Mg12.

Cell lengths 4.600, 4.600, 18.897 Å; angles 90.00, 90.00, 90.00 degrees
Space group P4/mmm (No. 123)
Unique sites:
Dy  0.000  0.000  0.000
Tm  0.000  0.000  0.251
Tm  0.000  0.000  0.500
Mg  0.000  0.500  0.126
Mg  0.000  0.500  0.375
Mg  0.500  0.500  0.000
Mg  0.500  0.500  0.251
Mg  0.500  0.500  0.500

## Properties
The formation enthalpy at 0 K comes out at -0.0460 eV per atom. The uncorrected energy comes out at -37.89 eV for the cell shown. The density of states at the Fermi level comes out at 0.7247 states/eV per atom. The crystal system is tetragonal.

Q: Which value of uncorrected energy does entry 9 give?
A: -43.80 eV for the cell shown

Q: The highest uncorrected energy belongs to which entry?
A: SrCa2Sb

Q: What is the formula in the seventh record?
A: K2RbCaCl5

Q: uncorrected energy of number 6 (EuTlAu)?
A: -69.41 eV for the cell shown